Entry 1:
Crystalline ScCd2 at its relaxed geometry, computed with GGA-PBE.

Cell and atoms, written as CIF:
```
data_ScCd2
_cell_length_a 5.722
_cell_length_b 3.339
_cell_length_c 7.457
_cell_angle_alpha 90.00
_cell_angle_beta 105.03
_cell_angle_gamma 90.00
_space_group_name_H-M_alt 'C 1 2/m 1'
_space_group_IT_number 12
_space_group_name_Hall '-C 2y'
loop_
_atom_site_label
_atom_site_type_symbol
_atom_site_fract_x
_atom_site_fract_y
_atom_site_fract_z
_atom_site_occupancy
Sc1 Sc 0.000 0.000 0.000 1
Cd1 Cd 0.224 0.000 0.668 1
```

Properties
Magnetic moment in μB/atom: 0.01
Total DFT energy (no corrections) in eV/atom: -2.8164
Volume in Å³ per atom: 22.9
E_form in eV per atom: -0.1100


Entry 2:
Crystalline RbZr3 at its relaxed geometry, computed with GGA-PBE.

Cell and atoms, written as CIF:
```
data_RbZr3
_cell_length_a 8.279
_cell_length_b 11.098
_cell_length_c 5.069
_cell_angle_alpha 90.00
_cell_angle_beta 90.00
_cell_angle_gamma 90.00
_space_group_name_H-M_alt 'C m c m'
_space_group_IT_number 63
_space_group_name_Hall '-C 2c 2'
loop_
_atom_site_label
_atom_site_type_symbol
_atom_site_fract_x
_atom_site_fract_y
_atom_site_fract_z
_atom_site_occupancy
Rb1 Rb 0.000 0.083 0.250 1
Zr1 Zr 0.000 0.406 0.750 1
Zr2 Zr 0.184 0.350 0.250 1
```

Properties
Magnetic moment in μB/atom: 0.01
Total DFT energy (no corrections) in eV/atom: -5.8326
Volume in Å³ per atom: 29.1